Computed, not measured: an optimized crystal structure of HoFe2Ni4 at the PBE level of DFT.

a = 7.8379 Å, b = 6.2223 Å, c = 4.7813 Å
α = 90.00°, β = 127.45°, γ = 90.00°
Last column: nearest neighbours and their distance in Å.
Space group C2/m (No. 12)
Unique sites:
Ho 0.0000 0.0000 0.0000  12 Ni 2.67-2.95
Fe 0.0001 0.5000 0.2501  2 Fe 2.39, 8 Ni 2.55
Ni 0.1963 0.1963 0.6963  4 Ni 2.44-2.57, 4 Fe 2.55, 1 Ho 2.67

Values from the calculation:
Formation energy from the elements in eV/atom: -0.207
M_tot in μB/atom: 0.94

=====

Computed, not measured: an optimized crystal structure of Fe4CoIr at the PBE level of DFT.

a = 4.6328 Å, b = 7.5057 Å, c = 4.6407 Å
α = 90.00°, β = 112.79°, γ = 90.00°
Last column: nearest neighbours and their distance in Å.
Space group P2_1/c (No. 14)
Unique sites:
Fe 0.0462 0.1678 0.0569  2 Co 2.49-2.51, 2 Ir 2.55-2.75, 7 Fe 2.55-2.70
Fe 0.4466 0.6612 0.9556  7 Fe 2.47-2.70, 1 Co 2.47, 3 Ir 2.53-2.72
Co 0.0000 0.0000 0.5000  8 Fe 2.47-2.77, 2 Ir 2.57
Ir 0.5000 0.0000 0.0000  10 Fe 2.53-2.75, 2 Co 2.57

Values from the calculation:
Relative energy among the computed polymorphs in eV per atom: 0.100
Formation energy from the elements in eV/atom: 0.063
M_tot in μB/atom: 2.14

=====

Computed, not measured: an optimized crystal structure of NaInB2 at the PBE level of DFT.

a = 4.1747 Å, b = 4.1747 Å, c = 15.9929 Å
α = 90.00°, β = 90.00°, γ = 90.00°
Last column: nearest neighbours and their distance in Å.
Space group I4_1/amd (No. 141, origin choice 2)
Unique sites:
Na 0.0000 0.2500 0.3750  4 In 2.95, 8 B 3.07
In 0.0000 0.2500 0.8750  4 B 2.26
B 0.0000 0.0000 0.0000  2 B 2.09, 2 In 2.26

Values from the calculation:
Formation energy from the elements in eV/atom: 1.107
M_tot in μB/atom: 0.00

=====

Computed, not measured: an optimized crystal structure of SrLiGaCu at the PBE level of DFT.

a = 6.9043 Å, b = 6.9043 Å, c = 6.9043 Å
α = 90.00°, β = 90.00°, γ = 90.00°
Last column: nearest neighbours and their distance in Å.
Space group F-43m (No. 216)
Unique sites:
Sr 0.0000 0.0000 0.0000  4 Cu 2.99, 4 Li 2.99
Li 0.2500 0.2500 0.2500  4 Sr 2.99, 4 Ga 2.99
Ga 0.0000 0.0000 0.5000  4 Li 2.99, 4 Cu 2.99
Cu 0.2500 0.2500 0.7500  4 Ga 2.99, 4 Sr 2.99

Values from the calculation:
Relative energy among the computed polymorphs in eV per atom: 0.181
Formation energy from the elements in eV/atom: -0.077
M_tot in μB/atom: 0.00

=====

Computed, not measured: an optimized crystal structure of AlTeSe2 at the PBE level of DFT.

a = 3.7453 Å, b = 3.7453 Å, c = 25.0907 Å
α = 90.00°, β = 90.00°, γ = 120.00°
Last column: nearest neighbours and their distance in Å.
Space group R-3m (No. 166, hexagonal axes)
Unique sites:
Al 0.0000 0.0000 0.0000  6 Se 2.57
Te 0.0000 0.0000 0.5000  2 Se 2.79
Se 0.0000 0.0000 0.3887  3 Al 2.57, 1 Te 2.79

Values from the calculation:
Relative energy among the computed polymorphs in eV per atom: 0.000
M_tot in μB/atom: 0.00

=====

Computed, not measured: an optimized crystal structure of Tb2Pr6Ho3 at the PBE level of DFT.

a = 6.7182 Å, b = 6.7286 Å, c = 9.5543 Å
α = 92.79°, β = 93.32°, γ = 117.95°
Last column: nearest neighbours and their distance in Å.
Space group P-1 (No. 2)
Unique sites:
Tb 0.0015 0.4469 0.3308  1 Tb 3.28, 5 Pr 3.37-3.54, 2 Ho 3.39-3.49
Pr 0.1243 0.1271 0.7164  2 Tb 3.39-3.54, 4 Pr 3.40-3.77, 2 Ho 3.48-3.67
Pr 0.2051 0.7929 0.9991  1 Tb 3.37, 5 Pr 3.38-3.77, 3 Ho 3.59-3.76
Pr 0.4506 0.0037 0.3288  4 Pr 3.31-3.53, 2 Ho 3.37-3.51, 2 Tb 3.50-3.54
Ho 0.3645 0.3653 0.1331  2 Ho 3.31-3.53, 4 Pr 3.37-3.67, 1 Tb 3.39
Ho 0.5000 0.5000 0.5000  4 Pr 3.48-3.51, 2 Tb 3.49, 2 Ho 3.53

Values from the calculation:
Relative energy among the computed polymorphs in eV per atom: 0.000
Formation energy from the elements in eV/atom: 0.129
M_tot in μB/atom: 0.00

=====

Computed, not measured: an optimized crystal structure of Rb2TmAuO4 at the PBE level of DFT.

a = 6.1338 Å, b = 14.3719 Å, c = 23.2678 Å
α = 90.00°, β = 90.00°, γ = 90.00°
Last column: nearest neighbours and their distance in Å.
Space group Fddd (No. 70, origin choice 2)
Unique sites:
Rb 0.1250 0.1250 0.3165  2 O 2.64
Tm 0.1250 0.1250 0.1250  4 O 2.14
Au 0.1250 0.1250 0.6250  4 O 2.06
O 0.1160 0.2759 0.8690  1 Au 2.06, 1 Tm 2.14

Values from the calculation:
Total DFT energy (no corrections) in eV per cell: -324.9
M_tot in μB/atom: 0.00

=====

Computed, not measured: an optimized crystal structure of TbHoAlTl at the PBE level of DFT.

a = 7.4174 Å, b = 7.4174 Å, c = 7.4174 Å
α = 90.00°, β = 90.00°, γ = 90.00°
Last column: nearest neighbours and their distance in Å.
Space group F-43m (No. 216)
Unique sites:
Tb 0.0000 0.0000 0.0000  4 Tl 3.21, 4 Al 3.21
Ho 0.0000 0.0000 0.5000  4 Al 3.21, 4 Tl 3.21
Al 0.2500 0.2500 0.2500  4 Tb 3.21, 4 Ho 3.21
Tl 0.2500 0.2500 0.7500  4 Tb 3.21, 4 Ho 3.21

Values from the calculation:
Relative energy among the computed polymorphs in eV per atom: 0.025
Formation energy from the elements in eV/atom: -0.336
M_tot in μB/atom: 0.00

=====

Computed, not measured: an optimized crystal structure of Tm2ZnSe at the PBE level of DFT.

a = 3.6994 Å, b = 3.6994 Å, c = 28.5200 Å
α = 90.00°, β = 90.00°, γ = 120.00°
Last column: nearest neighbours and their distance in Å.
Space group R-3m (No. 166, hexagonal axes)
Unique sites:
Tm 0.0000 0.0000 0.1033  3 Se 2.80, 1 Zn 2.95
Zn 0.0000 0.0000 0.0000  2 Tm 2.95
Se 0.0000 0.0000 0.5000  6 Tm 2.80

Values from the calculation:
Relative energy among the computed polymorphs in eV per atom: 0.571
M_tot in μB/atom: 0.00

=====

Computed, not measured: an optimized crystal structure of K3YHg at the PBE level of DFT.

a = 6.4778 Å, b = 6.4778 Å, c = 6.4778 Å
α = 90.00°, β = 90.00°, γ = 90.00°
Last column: nearest neighbours and their distance in Å.
Space group Pm-3m (No. 221)
Unique sites:
K 0.0000 0.0000 0.5000  2 Hg 3.24
Y 0.5000 0.5000 0.5000  12 K 4.58
Hg 0.0000 0.0000 0.0000  6 K 3.24

Values from the calculation:
Relative energy among the computed polymorphs in eV per atom: 0.000
Formation energy from the elements in eV/atom: 0.478
M_tot in μB/atom: 0.00

=====

Computed, not measured: an optimized crystal structure of La6SmTm at the PBE level of DFT.

a = 5.2073 Å, b = 5.2073 Å, c = 10.4207 Å
α = 90.00°, β = 90.00°, γ = 90.00°
Last column: nearest neighbours and their distance in Å.
Space group P4/mmm (No. 123)
Unique sites:
La 0.0000 0.0000 0.0000  8 La 3.67, 4 Tm 3.68
La 0.0000 0.0000 0.5000  4 Sm 3.68, 8 La 3.69
La 0.0000 0.5000 0.2485  8 La 3.67-3.69, 2 Tm 3.67, 2 Sm 3.69
Sm 0.5000 0.5000 0.5000  12 La 3.68-3.69
Tm 0.5000 0.5000 0.0000  12 La 3.67-3.68

Values from the calculation:
Formation energy from the elements in eV/atom: 0.007
M_tot in μB/atom: 0.00

=====

Computed, not measured: an optimized crystal structure of KFePt2 at the PBE level of DFT.

a = 2.7979 Å, b = 5.0027 Å, c = 5.0436 Å
α = 90.00°, β = 90.00°, γ = 90.00°
Last column: nearest neighbours and their distance in Å.
Space group Pmmm (No. 47)
Unique sites:
K 0.0000 0.0000 0.0000  2 K 2.80, 4 Pt 2.87, 4 Fe 2.88
Fe 0.5000 0.0000 0.5000  2 Fe 2.80, 4 Pt 2.87, 4 K 2.88
Pt 0.0000 0.5000 0.5000  6 Pt 2.80-2.88, 4 Fe 2.87
Pt 0.5000 0.5000 0.0000  6 Pt 2.80-2.88, 4 K 2.87

Values from the calculation:
Relative energy among the computed polymorphs in eV per atom: 0.546
Formation energy from the elements in eV/atom: 0.549
M_tot in μB/atom: 0.83

=====

Computed, not measured: an optimized crystal structure of ZnAs2 at the PBE level of DFT.

a = 9.3936 Å, b = 7.7973 Å, c = 8.1423 Å
α = 90.00°, β = 102.53°, γ = 90.00°
Last column: nearest neighbours and their distance in Å.
Space group P2_1/c (No. 14)
Unique sites:
Zn 0.0807 0.2492 0.3945  4 As 2.45-2.51
Zn 0.3885 0.6003 0.2228  4 As 2.49-2.54
As 0.0672 0.7447 0.8924  2 Zn 2.45, 2 As 2.45-2.46
As 0.2381 0.5123 0.4330  2 As 2.46-2.49, 2 Zn 2.51-2.54
As 0.2432 0.5083 0.9362  2 As 2.45-2.49, 2 Zn 2.50-2.54
As 0.3851 0.5761 0.7195  2 As 2.49, 2 Zn 2.49-2.52

Values from the calculation:
Formation energy from the elements in eV/atom: -0.159
M_tot in μB/atom: 0.00

=====

Computed, not measured: an optimized crystal structure of Zr3Al2Cu3 at the PBE level of DFT.

a = 7.7549 Å, b = 7.7549 Å, c = 5.2218 Å
α = 90.00°, β = 90.00°, γ = 120.00°
Last column: nearest neighbours and their distance in Å.
Space group P6_3/mcm (No. 193)
Unique sites:
Zr 0.0000 0.2523 0.2500  5 Cu 2.66-2.86
Al 0.3333 0.6667 0.0000  2 Al 2.61, 6 Cu 2.70
Cu 0.0000 0.4042 0.7500  5 Zr 2.66-2.86, 4 Al 2.70

Values from the calculation:
Relative energy among the computed polymorphs in eV per atom: 0.000
Formation energy from the elements in eV/atom: -0.277
M_tot in μB/atom: 0.00

=====

Computed, not measured: an optimized crystal structure of MnCd3Re at the PBE level of DFT.

a = 5.1704 Å, b = 5.1704 Å, c = 5.1704 Å
α = 90.00°, β = 90.00°, γ = 90.00°
Last column: nearest neighbours and their distance in Å.
Space group Pm-3m (No. 221)
Unique sites:
Mn 0.0000 0.0000 0.0000  12 Cd 3.66
Cd 0.0000 0.5000 0.5000  2 Re 2.59
Re 0.5000 0.5000 0.5000  6 Cd 2.59

Values from the calculation:
Relative energy among the computed polymorphs in eV per atom: 0.284
Formation energy from the elements in eV/atom: 1.890
M_tot in μB/atom: 0.05

=====

Computed, not measured: an optimized crystal structure of Pr2Al3ZnCu4 at the PBE level of DFT.

a = 4.3042 Å, b = 4.3042 Å, c = 9.9707 Å
α = 90.00°, β = 90.00°, γ = 90.00°
Last column: nearest neighbours and their distance in Å.
Space group P-4m2 (No. 115)
Unique sites:
Pr 0.0000 0.5000 0.2449  8 Cu 3.25-3.29, 6 Al 3.26-3.33, 2 Zn 3.33
Al 0.0000 0.5000 0.8733  5 Cu 2.44-2.50
Al 0.5000 0.5000 0.5000  4 Cu 2.51
Zn 0.0000 0.0000 0.5000  4 Cu 2.51
Cu 0.0000 0.0000 0.0000  4 Al 2.50
Cu 0.0000 0.5000 0.6286  3 Al 2.44-2.51, 2 Zn 2.51
Cu 0.5000 0.5000 0.0000  4 Al 2.50

Values from the calculation:
Formation energy from the elements in eV/atom: -0.342
M_tot in μB/atom: 0.00

=====

Computed, not measured: an optimized crystal structure of Tb5Dy3Y4 at the PBE level of DFT.

a = 6.1662 Å, b = 7.1215 Å, c = 8.7080 Å
α = 89.99°, β = 89.89°, γ = 89.89°
Last column: nearest neighbours and their distance in Å.
Space group P-1 (No. 2)
Unique sites:
Tb 0.0000 0.0000 0.0000  4 Y 3.55-3.56, 4 Tb 3.55-3.57, 4 Dy 3.56
Tb 0.3337 0.4998 0.6666  4 Dy 3.55-3.56, 3 Tb 3.55-3.56, 5 Y 3.56-3.57
Tb 0.4990 0.7496 0.0005  3 Dy 3.54-3.56, 6 Tb 3.55-3.57, 3 Y 3.56
Dy 0.0000 0.5000 0.0000  2 Dy 3.55, 8 Tb 3.56, 2 Y 3.56
Dy 0.1671 0.7490 0.3327  5 Tb 3.54-3.56, 6 Y 3.55-3.57, 1 Dy 3.55
Y 0.1660 0.2504 0.3335  4 Dy 3.55-3.57, 5 Tb 3.56, 3 Y 3.56-3.57
Y 0.3331 0.0005 0.6671  5 Tb 3.55-3.57, 4 Y 3.56-3.57, 3 Dy 3.56-3.57

Values from the calculation:
Relative energy among the computed polymorphs in eV per atom: 0.000
Formation energy from the elements in eV/atom: 0.018
M_tot in μB/atom: 0.00

=====

Computed, not measured: an optimized crystal structure of Pr12Tm3Cd at the PBE level of DFT.

a = 5.1223 Å, b = 5.1223 Å, c = 20.6679 Å
α = 90.00°, β = 90.00°, γ = 90.00°
Last column: nearest neighbours and their distance in Å.
Space group P4/mmm (No. 123)
Unique sites:
Pr 0.0000 0.0000 0.0000  8 Pr 3.60, 4 Cd 3.62
Pr 0.0000 0.0000 0.2471  4 Tm 3.62, 8 Pr 3.63-3.67
Pr 0.0000 0.0000 0.5000  4 Tm 3.62, 8 Pr 3.65
Pr 0.0000 0.5000 0.1224  2 Cd 3.60, 8 Pr 3.60-3.63, 2 Tm 3.65
Pr 0.0000 0.5000 0.3740  8 Pr 3.62-3.67, 4 Tm 3.65
Tm 0.5000 0.5000 0.2481  12 Pr 3.62-3.65
Tm 0.5000 0.5000 0.5000  12 Pr 3.62-3.65
Cd 0.5000 0.5000 0.0000  12 Pr 3.60-3.62

Values from the calculation:
Formation energy from the elements in eV/atom: -0.015
M_tot in μB/atom: 0.00

=====

Computed, not measured: an optimized crystal structure of ZrScTl3 at the PBE level of DFT.

a = 5.5270 Å, b = 5.5270 Å, c = 5.5270 Å
α = 90.00°, β = 90.00°, γ = 90.00°
Last column: nearest neighbours and their distance in Å.
Space group Pm-3m (No. 221)
Unique sites:
Zr 0.0000 0.0000 0.0000  6 Tl 2.76
Sc 0.5000 0.5000 0.5000  12 Tl 3.91
Tl 0.0000 0.0000 0.5000  2 Zr 2.76

Values from the calculation:
Relative energy among the computed polymorphs in eV per atom: 0.000
Formation energy from the elements in eV/atom: 0.609
M_tot in μB/atom: 0.00

=====

Computed, not measured: an optimized crystal structure of Pr2HgN at the PBE level of DFT.

a = 3.7062 Å, b = 3.7062 Å, c = 24.0936 Å
α = 90.00°, β = 90.00°, γ = 120.00°
Last column: nearest neighbours and their distance in Å.
Space group R3m (No. 160, hexagonal axes)
Unique sites:
Pr 0.0000 0.0000 0.0000  3 N 2.54
Pr 0.0000 0.0000 0.2163  3 N 2.58
Hg 0.0000 0.0000 0.4423  6 Pr 3.36-3.39, 6 Hg 3.71
N 0.0000 0.0000 0.6095  6 Pr 2.54-2.58

Values from the calculation:
Relative energy among the computed polymorphs in eV per atom: 0.000
M_tot in μB/atom: 0.00